Entry from Alexandria: Nd4Zn3Ru after structural relaxation (PBE).

abc: 3.6151 3.6151 14.8824
angles: 90.00 90.00 90.00
With the nearest neighbours (Å) after each atom.
Space group P4/mmm (No. 123)
Unique sites:
1 Nd 0.0000 0.0000 0.1145  4 Ru 3.07, 4 Zn 3.25, 1 Nd 3.41
2 Nd 0.0000 0.0000 0.3740  8 Zn 3.16-3.17
3 Zn 0.5000 0.5000 0.2490  8 Nd 3.16-3.25
4 Zn 0.5000 0.5000 0.5000  8 Nd 3.17
5 Ru 0.5000 0.5000 0.0000  8 Nd 3.07

## Properties
- density of states at the Fermi level (states/eV per atom) = 1.078
- E_tot (eV/cell) = -34.3

---

Entry from Alexandria: ScPaCdO6 after structural relaxation (PBE).

abc: 5.5124 5.5124 4.8323
angles: 90.00 90.00 120.00
With the nearest neighbours (Å) after each atom.
Space group P312 (No. 149)
Unique sites:
1 Sc 0.0000 0.0000 0.0000  6 O 2.12
2 Pa 0.3333 0.6667 0.5000  6 O 2.18
3 Cd 0.6667 0.3333 0.0000  6 O 2.28
4 O 0.0209 0.3320 0.2416  1 Sc 2.12, 1 Pa 2.18, 1 Cd 2.28

## Properties
- raw formation energy (eV/atom) = -2.35
- density of states at the Fermi level (states/eV per atom) = 0.781
- E_tot (eV/cell) = -67.6

---

Entry from Alexandria: Ac2Ge6PdRh after structural relaxation (PBE).

abc: 6.3203 6.3203 39.2734
angles: 90.00 90.00 120.00
With the nearest neighbours (Å) after each atom.
Space group R-3m (No. 166, hexagonal axes)
Unique sites:
1 Ac 0.0000 0.0000 0.1318  12 Ge 3.19-3.42
2 Ac 0.0000 0.0000 0.2944  6 Ge 3.23
3 Ge 0.0564 0.5282 0.8764  1 Rh 2.56, 2 Ge 2.63, 1 Pd 2.72
4 Ge 0.0570 0.5285 0.7203  1 Rh 2.52, 1 Pd 2.59, 2 Ge 2.62
5 Pd 0.0000 0.0000 0.0000  6 Ge 2.59
6 Pd 0.0000 0.0000 0.5000  6 Ge 2.72
7 Rh 0.0000 0.0000 0.4210  6 Ge 2.52-2.56

## Properties
- density of states at the Fermi level (states/eV per atom) = 0.374
- E_tot (eV/cell) = -318.0

---

Entry from Alexandria: Ca4PtN after structural relaxation (PBE).

abc: 8.4921 14.0412 6.3178
angles: 90.00 126.93 90.00
With the nearest neighbours (Å) after each atom.
Space group C2/c (No. 15)
Unique sites:
1 Ca 0.1372 0.1984 0.1437  1 N 2.42
2 Ca 0.2383 0.0349 0.7106  2 N 2.40-2.66
3 Pt 0.0000 0.3680 0.7500  8 Ca 2.89-3.14
4 N 0.0000 0.0733 0.2500  6 Ca 2.40-2.66

## Properties
- raw formation energy (eV/atom) = -0.69
- density of states at the Fermi level (states/eV per atom) = 0.454
- E_tot (eV/cell) = -106.0

---

Entry from Alexandria: Te2PtI after structural relaxation (PBE).

abc: 8.4769 9.5440 6.4230
angles: 90.00 90.00 90.00
With the nearest neighbours (Å) after each atom.
Space group Pna2_1 (No. 33)
Unique sites:
1 Te 0.1482 0.0166 0.0000  2 Pt 2.63-2.67, 1 Te 2.85
2 Te 0.2045 0.7232 0.0367  2 Pt 2.68-2.69, 1 Te 2.85
3 Pt 0.0352 0.1679 0.3157  4 Te 2.63-2.69, 1 I 2.71
4 I 0.0575 0.3791 0.0354  1 Pt 2.71

## Properties
- raw formation energy (eV/atom) = -0.11
- density of states at the Fermi level (states/eV per atom) = 0.424
- E_tot (eV/cell) = -57.3

---

Entry from Alexandria: Na5Tl4In3 after structural relaxation (PBE).

abc: 5.9873 6.8549 8.4899
angles: 91.86 103.81 90.73
With the nearest neighbours (Å) after each atom.
Space group P-1 (No. 2)
Unique sites:
1 Na 0.0000 0.0000 0.0000  4 Tl 3.36-3.41, 4 In 3.43, 4 Na 3.45-3.47
2 Na 0.2191 0.4995 0.6630  5 Tl 3.31-3.46, 3 Na 3.33-3.45, 4 In 3.42-3.50
3 Na 0.4989 0.7469 0.0019  3 Tl 3.33-3.48, 6 Na 3.36-3.47, 3 In 3.40-3.47
4 Tl 0.2216 0.0020 0.6658  3 In 3.32-3.43, 5 Na 3.33-3.48, 4 Tl 3.38-3.48
5 Tl 0.2827 0.2570 0.3336  5 Na 3.31-3.46, 4 In 3.38-3.45, 3 Tl 3.46-3.48
6 In 0.0000 0.5000 0.0000  2 In 3.35, 8 Na 3.41-3.47, 2 Tl 3.43
7 In 0.2756 0.7541 0.3346  6 Tl 3.32-3.45, 1 In 3.35, 5 Na 3.40-3.50

## Properties
- density of states at the Fermi level (states/eV per atom) = 0.342
- E_tot (eV/cell) = -25.2

---

Entry from Alexandria: Cs2NaCdF after structural relaxation (PBE).

abc: 6.2470 6.2470 5.1042
angles: 90.00 90.00 90.00
With the nearest neighbours (Å) after each atom.
Space group P4/mmm (No. 123)
Unique sites:
1 Cs 0.0000 0.5000 0.0000  2 F 3.12
2 Na 0.0000 0.0000 0.5000  2 F 2.55
3 Cd 0.5000 0.5000 0.5000  8 Cs 4.03, 4 Na 4.42
4 F 0.0000 0.0000 0.0000  2 Na 2.55

## Properties
- raw formation energy (eV/atom) = -0.95
- density of states at the Fermi level (states/eV per atom) = 0.645
- E_tot (eV/cell) = -10.6

---

Entry from Alexandria: AsPAu2 after structural relaxation (PBE).

abc: 2.7415 3.7626 7.3701
angles: 90.00 90.48 90.00
With the nearest neighbours (Å) after each atom.
Space group P2/m (No. 10)
Unique sites:
1 As 0.0000 0.0000 0.0000  4 Au 2.70, 2 As 2.74
2 P 0.0000 0.0000 0.5000  4 Au 2.57, 2 P 2.74
3 Au 0.0001 0.5000 0.2630  2 P 2.57, 2 As 2.70, 2 Au 2.74

## Properties
- density of states at the Fermi level (states/eV per atom) = 0.339
- E_tot (eV/cell) = -15.9
- E above lowest polymorph (meV per atom) = 52

---

Entry from Alexandria: LaHo2ScAu4 after structural relaxation (PBE).

abc: 5.0115 5.0115 25.8433
angles: 90.00 90.00 120.00
With the nearest neighbours (Å) after each atom.
Space group R-3m (No. 166, hexagonal axes)
Unique sites:
1 La 0.0000 0.0000 0.0000  8 Au 3.23-3.35
2 Ho 0.0000 0.0000 0.2451  7 Au 2.99-3.08
3 Sc 0.0000 0.0000 0.5000  8 Au 2.87-3.05
4 Au 0.0000 0.0000 0.1295  4 Ho 2.99-3.08, 3 Sc 3.05, 1 La 3.35
5 Au 0.0000 0.0000 0.3890  1 Sc 2.87, 3 Ho 3.01

## Properties
- density of states at the Fermi level (states/eV per atom) = 0.628
- E_tot (eV/cell) = -120.0

---

Entry from Alexandria: Sm3Dy2PaP6 after structural relaxation (PBE).

abc: 6.9982 12.1218 7.0153
angles: 90.00 109.38 90.00
With the nearest neighbours (Å) after each atom.
Space group C2/m (No. 12)
Unique sites:
1 Sm 0.0000 0.0000 0.0000  6 P 2.88-2.93
2 Sm 0.0000 0.3318 0.0000  6 P 2.88-2.92
3 Dy 0.0000 0.1663 0.5000  6 P 2.84
4 Pa 0.0000 0.5000 0.5000  6 P 2.78-2.79
5 P 0.2437 0.3363 0.7405  1 Pa 2.79, 2 Dy 2.84, 3 Sm 2.88-2.92
6 P 0.2468 0.5000 0.2600  1 Pa 2.78, 2 Dy 2.84, 3 Sm 2.89-2.93

## Properties
- density of states at the Fermi level (states/eV per atom) = 0.293
- E_tot (eV/cell) = -168.2

---

Entry from Alexandria: LiLa6Al5 after structural relaxation (PBE).

abc: 5.3985 16.1792 7.6092
angles: 90.00 90.00 90.00
With the nearest neighbours (Å) after each atom.
Space group Cmmm (No. 65)
Unique sites:
1 Li 0.0000 0.0000 0.0000  8 La 3.33
2 La 0.0000 0.1691 0.2502  7 Al 3.27-3.36, 1 Li 3.33
3 La 0.0000 0.5000 0.2557  6 Al 3.24-3.28, 2 Li 3.33
4 Al 0.0000 0.0000 0.5000  8 La 3.28-3.33
5 Al 0.0000 0.3337 0.5000  8 La 3.27-3.30
6 Al 0.0000 0.3399 0.0000  8 La 3.24-3.36

## Properties
- density of states at the Fermi level (states/eV per atom) = 0.940
- E_tot (eV/cell) = -107.7

---

Entry from Alexandria: Nd4TlCd5 after structural relaxation (PBE).

abc: 16.3139 5.2569 6.6986
angles: 90.00 105.33 90.00
With the nearest neighbours (Å) after each atom.
Space group C2/m (No. 12)
Unique sites:
1 Nd 0.0971 0.0000 0.3683  5 Cd 3.15-3.27, 2 Tl 3.31
2 Nd 0.1900 0.5000 0.8249  7 Cd 3.14-3.49, 1 Tl 3.28
3 Tl 0.0000 0.5000 0.5000  6 Nd 3.28-3.31, 2 Cd 3.35
4 Cd 0.0000 0.5000 0.0000  6 Cd 3.23-3.54, 2 Tl 3.35, 2 Nd 3.59
5 Cd 0.0961 0.0000 0.8972  5 Nd 3.14-3.49, 2 Cd 3.23
6 Cd 0.2095 0.5000 0.3279  7 Nd 3.26-3.43, 3 Cd 3.52-3.54

## Properties
- density of states at the Fermi level (states/eV per atom) = 0.660
- E_tot (eV/cell) = -58.4

---

Entry from Alexandria: CaPm7Pr4 after structural relaxation (PBE).

abc: 6.4311 7.4048 9.2275
angles: 89.87 76.49 89.95
With the nearest neighbours (Å) after each atom.
Space group P-1 (No. 2)
Unique sites:
1 Ca 0.0000 0.0000 0.0000  10 Pm 3.70-3.74, 2 Pr 3.71
2 Pm 0.0000 0.5000 0.0000  4 Pr 3.62-3.69, 6 Pm 3.67-3.69, 2 Ca 3.70
3 Pm 0.2246 0.0003 0.3397  6 Pm 3.62-3.77, 5 Pr 3.64-3.79, 1 Ca 3.74
4 Pm 0.2830 0.7469 0.6667  6 Pr 3.63-3.75, 5 Pm 3.64-3.77, 1 Ca 3.70
5 Pm 0.4995 0.7452 0.9997  3 Pr 3.62-3.67, 7 Pm 3.63-3.77, 2 Ca 3.72-3.73
6 Pr 0.2197 0.5003 0.3276  8 Pm 3.62-3.73, 4 Pr 3.69-3.73
7 Pr 0.2844 0.2534 0.6654  8 Pm 3.63-3.79, 3 Pr 3.69-3.72, 1 Ca 3.71

## Properties
- density of states at the Fermi level (states/eV per atom) = 1.375
- E_tot (eV/cell) = -54.0

---

Entry from Alexandria: Pm6Dy2Er after structural relaxation (PBE).

abc: 9.3783 17.6386 3.6494
angles: 90.00 90.00 90.00
With the nearest neighbours (Å) after each atom.
Space group Cmmm (No. 65)
Unique sites:
1 Pm 0.1760 0.1649 0.0000  6 Pm 3.30-3.65, 2 Dy 3.55
2 Pm 0.1846 0.0000 0.5000  7 Pm 3.43-3.65, 2 Er 3.48
3 Dy 0.0000 0.3229 0.5000  8 Pm 3.55-3.72, 2 Er 3.62, 2 Dy 3.65
4 Er 0.0000 0.5000 0.0000  4 Pm 3.48, 4 Dy 3.62, 2 Er 3.65

## Properties
- density of states at the Fermi level (states/eV per atom) = 1.342
- E_tot (eV/cell) = -82.2
- E above lowest polymorph (meV per atom) = 46

---

Entry from Alexandria: B5C3 after structural relaxation (PBE).

abc: 3.8433 3.8433 7.7837
angles: 90.00 90.00 90.00
With the nearest neighbours (Å) after each atom.
Space group I-42m (No. 121)
Unique sites:
1 B 0.0000 0.0000 0.0000  4 B 1.88
2 B 0.2211 0.2211 0.6430  3 C 1.60-1.64
3 C 0.0000 0.0000 0.5000  4 B 1.64
4 C 0.0000 0.5000 0.2500  4 B 1.60

## Properties
- density of states at the Fermi level (states/eV per atom) = 0.289
- E_tot (eV/cell) = -114.3
- E above lowest polymorph (meV per atom) = 218

---

Entry from Alexandria: SrLa2Ir after structural relaxation (PBE).

abc: 12.4591 3.9925 6.8775
angles: 90.00 121.03 90.00
With the nearest neighbours (Å) after each atom.
Space group Cm (No. 8)
Unique sites:
1 Sr 0.0000 0.0000 0.0000  3 Ir 3.33-3.52
2 La 0.1783 0.0000 0.6944  2 Ir 2.78
3 La 0.3549 0.0000 0.3452  2 Ir 2.81
4 Ir 0.2367 0.5000 0.0142  4 La 2.78-2.81

## Properties
- density of states at the Fermi level (states/eV per atom) = 1.188
- E_tot (eV/cell) = -43.3
- E above lowest polymorph (meV per atom) = 147

---

Entry from Alexandria: Hg2POs after structural relaxation (PBE).

abc: 2.9539 2.9539 29.1048
angles: 90.00 90.00 120.00
With the nearest neighbours (Å) after each atom.
Space group R-3m (No. 166, hexagonal axes)
Unique sites:
1 Hg 0.0000 0.0000 0.2480  3 Os 2.92, 6 Hg 2.95, 3 P 3.01
2 P 0.0000 0.0000 0.0000  6 P 2.95, 6 Hg 3.01
3 Os 0.0000 0.0000 0.5000  6 Hg 2.92, 6 Os 2.95

## Properties
- density of states at the Fermi level (states/eV per atom) = 0.664
- E_tot (eV/cell) = -40.6

---

Entry from Alexandria: YMg2Sc after structural relaxation (PBE).

abc: 3.3564 3.3564 9.1318
angles: 90.00 90.00 90.00
With the nearest neighbours (Å) after each atom.
Space group P4mm (No. 99)
Unique sites:
1 Y 0.0000 0.0000 0.0000  4 Y 3.36, 4 Sc 3.40, 4 Mg 3.41
2 Mg 0.0000 0.0000 0.4951  8 Mg 3.15-3.36, 4 Sc 3.22
3 Mg 0.5000 0.5000 0.2687  8 Mg 3.15-3.36, 4 Y 3.41
4 Sc 0.5000 0.5000 0.7331  4 Mg 3.22, 4 Sc 3.36, 4 Y 3.40

## Properties
- density of states at the Fermi level (states/eV per atom) = 1.181
- E_tot (eV/cell) = -16.1
- E above lowest polymorph (meV per atom) = 33

---

Entry from Alexandria: PuHgSe after structural relaxation (PBE).

abc: 10.7531 3.6919 9.2067
angles: 90.00 120.37 90.00
With the nearest neighbours (Å) after each atom.
Space group C2/m (No. 12)
Unique sites:
1 Pu 0.1726 0.0000 0.1454  5 Se 2.92-3.07
2 Hg 0.1394 0.0000 0.5135  3 Hg 2.88-3.12
3 Se 0.0546 0.5000 0.8517  5 Pu 2.92-3.07

## Properties
- raw formation energy (eV/atom) = -0.77
- density of states at the Fermi level (states/eV per atom) = 2.761
- E_tot (eV/cell) = -81.7
- E above lowest polymorph (meV per atom) = 0

---

Entry from Alexandria: LiLaSn2 after structural relaxation (PBE).

abc: 5.0790 5.0790 18.9386
angles: 90.00 90.00 90.00
With the nearest neighbours (Å) after each atom.
Space group I-42d (No. 122)
Unique sites:
1 Li 0.0000 0.0000 0.0000  4 Sn 2.80
2 La 0.0000 0.0000 0.5000  4 Sn 3.20
3 Sn 0.1559 0.2500 0.1250  2 Li 2.80, 2 Sn 2.99

## Properties
- density of states at the Fermi level (states/eV per atom) = 0.151
- E_tot (eV/cell) = -64.3